1.
First-principles (PBE) data for a relaxed structure of ScZn3Pt, as listed in Alexandria.

The excess energy over the best structure of this formula in the dataset is 539 meV per atom. The value obtained for the energy relative to the elements is -0.0315 eV per atom. The value obtained for the total energy is -3.270 eV/atom. The volume comes out at 21.43 Å³ per atom. As for the density of states at the Fermi level: 0.4716 states/eV/atom.

Lattice parameters (Å, degrees): 4.7497 4.7497 4.7497 90.00 90.00 90.00
Last column: nearest neighbours and their distance in Å.
Space group Pm-3m (No. 221)
Inequivalent atoms, fractional coordinates:
Sc1 0.0000 0.0000 0.0000 [1 per cell]  12 Zn 3.36
Zn1 0.0000 0.5000 0.5000 [3 per cell]  2 Pt 2.37
Pt1 0.5000 0.5000 0.5000 [1 per cell]  6 Zn 2.37


2.
First-principles (PBE) data for a relaxed structure of Sc4ZnPt3, as listed in Alexandria.

The value obtained for the energy relative to the elements is -1.0406 eV per atom. The value obtained for the total energy is -6.631 eV/atom. The volume comes out at 18.16 Å³ per atom. As for the density of states at the Fermi level: 0.8892 states/eV/atom.

Lattice parameters (Å, degrees): 4.6725 4.6725 23.0557 90.00 90.00 120.00
Last column: nearest neighbours and their distance in Å.
Space group R-3m (No. 166, hexagonal axes)
Inequivalent atoms, fractional coordinates:
Sc1 0.0000 0.0000 0.1227 [6 per cell]  5 Pt 2.81-2.83, 3 Zn 2.88
Sc2 0.0000 0.0000 0.3730 [6 per cell]  7 Pt 2.85-2.97, 1 Zn 2.93
Zn1 0.0000 0.0000 0.5000 [3 per cell]  8 Sc 2.88-2.93
Pt1 0.0000 0.0000 0.0000 [3 per cell]  8 Sc 2.83-2.85
Pt2 0.0000 0.0000 0.2444 [6 per cell]  8 Sc 2.81-2.97


3.
First-principles (PBE) data for a relaxed structure of ScZn2Pt2, as listed in Alexandria.

The excess energy over the best structure of this formula in the dataset is 63 meV per atom. The value obtained for the energy relative to the elements is -0.7150 eV per atom. The value obtained for the total energy is -4.907 eV/atom. The volume comes out at 16.03 Å³ per atom. As for the density of states at the Fermi level: 0.4278 states/eV/atom.

Lattice parameters (Å, degrees): 7.4668 7.4668 2.8749 90.00 90.00 90.00
Last column: nearest neighbours and their distance in Å.
Space group P4/mbm (No. 127)
Inequivalent atoms, fractional coordinates:
Sc1 0.0000 0.0000 0.0000 [2 per cell]  2 Sc 2.87, 4 Zn 2.98, 8 Pt 3.10
Zn1 0.1190 0.3810 0.0000 [4 per cell]  1 Zn 2.51, 6 Pt 2.57-2.69
Pt1 0.1794 0.6794 0.5000 [4 per cell]  6 Zn 2.57-2.69, 2 Pt 2.87


4.
First-principles (PBE) data for a relaxed structure of Sc2Zn16Pt, as listed in Alexandria.

The value obtained for the energy relative to the elements is -0.2310 eV per atom. The value obtained for the total energy is -2.288 eV/atom. The volume comes out at 15.53 Å³ per atom. As for the density of states at the Fermi level: 0.3771 states/eV/atom.

Lattice parameters (Å, degrees): 8.8494 8.8494 13.0536 90.00 90.00 120.00
Last column: nearest neighbours and their distance in Å.
Space group R3m (No. 160, hexagonal axes)
Inequivalent atoms, fractional coordinates:
Sc1 0.0000 0.0000 0.0000 [3 per cell]  1 Pt 2.95, 12 Zn 3.11-3.20
Sc2 0.0000 0.0000 0.3374 [3 per cell]  19 Zn 3.03-3.39
Zn1 0.0000 0.0000 0.5696 [3 per cell]  1 Pt 2.67, 12 Zn 2.68-2.96
Zn2 0.0008 0.2984 0.6733 [18 per cell]  8 Zn 2.55-2.78
Zn3 0.0013 0.5007 0.1722 [9 per cell]  9 Zn 2.55-2.68, 1 Pt 2.70
Zn4 0.0181 0.5091 0.8223 [9 per cell]  8 Zn 2.51-2.78
Zn5 0.1691 0.3382 0.8566 [9 per cell]  8 Zn 2.51-2.75, 1 Pt 2.81
Pt1 0.0000 0.0000 0.7742 [3 per cell]  13 Zn 2.67-2.95, 1 Sc 2.95


5.
First-principles (PBE) data for a relaxed structure of ScZn3Pt3, as listed in Alexandria.

The value obtained for the energy relative to the elements is 0.1558 eV per atom. The value obtained for the total energy is -3.884 eV/atom. The volume comes out at 22.37 Å³ per atom. As for the density of states at the Fermi level: 0.5953 states/eV/atom.

Lattice parameters (Å, degrees): 6.7912 6.7912 6.7912 90.00 90.00 90.00
Last column: nearest neighbours and their distance in Å.
Space group Pm-3n (No. 223)
Inequivalent atoms, fractional coordinates:
Sc1 0.0000 0.0000 0.0000 [2 per cell]  12 Pt 3.80, 12 Zn 3.80
Zn1 0.0000 0.2500 0.5000 [6 per cell]  4 Pt 2.40
Pt1 0.0000 0.5000 0.2500 [6 per cell]  4 Zn 2.40


6.
First-principles (PBE) data for a relaxed structure of ScZn2Pt, as listed in Alexandria.

The value obtained for the energy relative to the elements is -0.6361 eV per atom. The value obtained for the total energy is -4.366 eV/atom. The volume comes out at 16.26 Å³ per atom. As for the density of states at the Fermi level: 0.6787 states/eV/atom.

Lattice parameters (Å, degrees): 4.2393 4.2494 7.2211 90.00 90.00 90.00
Last column: nearest neighbours and their distance in Å.
Space group Imm2 (No. 44)
Inequivalent atoms, fractional coordinates:
Sc1 0.0000 0.0000 0.0000 [2 per cell]  4 Pt 2.78-2.79, 8 Zn 2.79-3.00
Zn1 0.0000 0.0000 0.5002 [2 per cell]  4 Zn 2.78-2.79, 4 Pt 2.78-2.79, 4 Sc 3.00
Zn2 0.0000 0.5000 0.2497 [2 per cell]  4 Zn 2.78-2.79, 4 Sc 2.79, 4 Pt 3.00
Pt1 0.0000 0.5000 0.7501 [2 per cell]  4 Sc 2.78-2.79, 8 Zn 2.78-3.00